[1]
TaAlNi2: optimized geometry, PBE.

a b c (Å): 4.3572 4.3572 4.9470
angles (deg): 98.58 98.58 36.49
Fractional positions:
Ta 0.0000 0.0000 0.0000
Al 0.5000 0.5000 0.5000
Ni 0.2422 0.2422 0.7416
Ni 0.7578 0.7578 0.2584

Computed properties:
Energy, eV/atom: -7.02

[2]
AlTe2Pb: optimized geometry, PBE.

a b c (Å): 3.8112 5.4129 5.4589
angles (deg): 90.00 90.00 90.00
Fractional positions:
Al 0.0000 0.0000 0.0000
Te 0.5000 0.0000 0.5000
Te 0.5000 0.5000 0.0000
Pb 0.0000 0.5000 0.5000

Computed properties:
Energy, eV/atom: -3.37

[3]
Rb3LiO8: optimized geometry, PBE.

a b c (Å): 6.7474 6.7474 6.7474
angles (deg): 118.71 118.71 92.25
Fractional positions:
Rb 0.0000 0.0000 0.0000
Rb 0.2500 0.7500 0.5000
Rb 0.7500 0.2500 0.5000
Li 0.5000 0.5000 0.0000
O 0.2209 0.2209 0.5865
O 0.2209 0.6344 0.0000
O 0.3656 0.3656 0.5865
O 0.3656 0.7791 0.0000
O 0.6344 0.2209 0.0000
O 0.6344 0.6344 0.4135
O 0.7791 0.3656 0.0000
O 0.7791 0.7791 0.4135

Computed properties:
Energy, eV/atom: -4.58

Going through the records in order, we get V values of 13.8; 28.2; 18.4 Å³ per atom.